Entry 1:
{
  "formula": "Ca2La2Nd7",
  "functional": "PBE",
  "state": "relaxed",
  "cell": [[6.878, 1.747, -0.602], [0.210, 7.093, -0.602], [-0.608, -0.758, 8.544]],
  "species": ["Ca", "Ca", "La", "La", "Nd", "Nd", "Nd", "Nd", "Nd", "Nd", "Nd"],
  "fractional_positions": [[0.451, 0.451, 0.677], [0.549, 0.549, 0.323], [0.196, 0.804, 0.000], [0.804, 0.196, 0.000], [0.935, 0.522, 0.682], [0.478, 0.065, 0.318], [0.065, 0.478, 0.318], [0.522, 0.935, 0.682], [0.000, 0.000, 0.500], [0.723, 0.723, 0.034], [0.277, 0.277, 0.966]],
  "delta_e_f_ev_per_atom": 0.20,
  "sg": "C2/m (12)",
  "dos_ef_per_ev_atom": 1.3966,
  "magnetic_moment_mub_per_fu": 0.000
}

=====

Entry 2:
{
  "formula": "CaLaNd4",
  "functional": "PBE",
  "state": "relaxed",
  "cell": [[6.873, 0.000, 0.000], [3.436, 5.952, 0.000], [3.436, 1.984, 5.612]],
  "species": ["Ca", "Nd", "Nd", "Nd", "Nd", "La"],
  "fractional_positions": [[0.250, 0.250, 0.250], [0.626, 0.626, 0.122], [0.626, 0.122, 0.626], [0.626, 0.626, 0.626], [0.122, 0.626, 0.626], [0.000, 0.000, 0.000]],
  "delta_e_f_ev_per_atom": 0.19,
  "sg": "F-43m (216)",
  "dos_ef_per_ev_atom": 1.4241,
  "e_above_lowest_polymorph_mev_per_atom": 144,
  "magnetic_moment_mub_per_fu": 0.000
}

=====

Entry 3:
{
  "formula": "CaLa3Nd12",
  "functional": "PBE",
  "state": "relaxed",
  "cell": [[5.246, 0.000, 0.000], [0.000, 5.246, 0.000], [0.000, 0.000, 20.885]],
  "species": ["Ca", "La", "La", "La", "Nd", "Nd", "Nd", "Nd", "Nd", "Nd", "Nd", "Nd", "Nd", "Nd", "Nd", "Nd"],
  "fractional_positions": [[0.000, 0.000, 0.000], [0.000, 0.000, 0.250], [0.000, 0.000, 0.500], [0.000, 0.000, 0.750], [0.500, 0.500, 0.000], [0.500, 0.500, 0.249], [0.500, 0.500, 0.500], [0.500, 0.500, 0.751], [0.500, 0.000, 0.128], [0.500, 0.000, 0.376], [0.500, 0.000, 0.624], [0.500, 0.000, 0.872], [0.000, 0.500, 0.128], [0.000, 0.500, 0.376], [0.000, 0.500, 0.624], [0.000, 0.500, 0.872]],
  "delta_e_f_ev_per_atom": 0.03,
  "sg": "P4/mmm (123)",
  "dos_ef_per_ev_atom": 1.6323,
  "magnetic_moment_mub_per_fu": 0.003
}

=====

Entry 4:
{
  "formula": "Ca2LaNd",
  "functional": "PBE",
  "state": "relaxed",
  "cell": [[-2.821, -1.260, 2.188], [-0.550, -2.896, -2.376], [7.073, -5.993, 5.667]],
  "species": ["Ca", "Ca", "La", "Nd"],
  "fractional_positions": [[0.000, 0.000, 0.995], [0.500, 0.500, 0.260], [0.500, 0.500, 0.734], [0.000, 0.000, 0.511]],
  "delta_e_f_ev_per_atom": 0.02,
  "sg": "P4mm (99)",
  "dos_ef_per_ev_atom": 1.2183,
  "e_above_lowest_polymorph_mev_per_atom": 0,
  "magnetic_moment_mub_per_fu": 0.000
}

=====

Entry 5:
{
  "formula": "CaLa2Nd",
  "functional": "PBE",
  "state": "relaxed",
  "cell": [[-5.643, 1.227, 1.555], [-4.263, 0.275, -4.186], [-4.179, -4.268, -0.297]],
  "species": ["Ca", "Nd", "La", "La"],
  "fractional_positions": [[0.500, 0.500, 0.500], [0.000, 0.000, 0.000], [0.250, 0.250, 0.250], [0.750, 0.750, 0.750]],
  "delta_e_f_ev_per_atom": 0.11,
  "sg": "Fm-3m (225)",
  "dos_ef_per_ev_atom": 1.6992,
  "e_above_lowest_polymorph_mev_per_atom": 74,
  "magnetic_moment_mub_per_fu": 0.000
}

=====

Entry 6:
{
  "formula": "CaLa12Nd5",
  "functional": "PBE",
  "state": "relaxed",
  "cell": [[11.163, -0.011, 0.014], [5.590, 9.605, 1.376], [-0.006, 1.309, 6.341]],
  "species": ["Ca", "La", "La", "La", "La", "La", "La", "La", "La", "La", "La", "La", "La", "Nd", "Nd", "Nd", "Nd", "Nd"],
  "fractional_positions": [[0.000, 0.000, 0.000], [0.826, 0.000, 0.500], [0.174, 0.000, 0.500], [0.662, 0.000, 0.000], [0.338, 0.000, 0.000], [0.341, 0.661, 0.001], [0.998, 0.661, 0.001], [0.002, 0.339, 0.999], [0.659, 0.339, 0.999], [0.504, 0.332, 0.505], [0.835, 0.668, 0.495], [0.165, 0.332, 0.505], [0.496, 0.668, 0.495], [0.500, 0.000, 0.500], [0.169, 0.662, 0.512], [0.831, 0.338, 0.488], [0.666, 0.667, 0.996], [0.334, 0.333, 0.004]],
  "delta_e_f_ev_per_atom": 0.02,
  "sg": "C2/m (12)",
  "dos_ef_per_ev_atom": 1.7662,
  "magnetic_moment_mub_per_fu": 0.000
}

=====

Entry 7:
{
  "formula": "Ca2LaNd",
  "functional": "PBE",
  "state": "relaxed",
  "cell": [[3.742, 0.000, 0.000], [1.871, 3.241, 0.000], [1.871, 1.080, 12.565]],
  "species": ["Ca", "Ca", "La", "Nd"],
  "fractional_positions": [[0.085, 0.085, 0.746], [0.249, 0.249, 0.254], [0.666, 0.666, 0.001], [0.500, 0.500, 0.499]],
  "delta_e_f_ev_per_atom": 0.08,
  "sg": "R3m (160)",
  "dos_ef_per_ev_atom": 1.6851,
  "e_above_lowest_polymorph_mev_per_atom": 54,
  "magnetic_moment_mub_per_fu": 0.023
}

=====

Entry 8:
{
  "formula": "CaLaNd4",
  "functional": "PBE",
  "state": "relaxed",
  "cell": [[3.682, -0.003, 0.306], [0.004, 5.290, 0.014], [-0.929, -0.028, 11.131]],
  "species": ["Ca", "La", "Nd", "Nd", "Nd", "Nd"],
  "fractional_positions": [[0.500, 0.000, 0.500], [0.000, 0.500, 0.000], [0.500, 0.000, 0.835], [0.500, 0.000, 0.165], [0.000, 0.500, 0.676], [0.000, 0.500, 0.324]],
  "delta_e_f_ev_per_atom": 0.04,
  "sg": "Pmmm (47)",
  "dos_ef_per_ev_atom": 1.6612,
  "e_above_lowest_polymorph_mev_per_atom": 0,
  "magnetic_moment_mub_per_fu": 0.000
}

=====

Entry 9:
{
  "formula": "CaLaNd2",
  "functional": "PBE",
  "state": "relaxed",
  "cell": [[-4.746, 1.648, -1.826], [-2.223, -4.372, 1.832], [-0.928, 2.386, 4.567]],
  "species": ["Ca", "Nd", "Nd", "La"],
  "fractional_positions": [[0.500, 0.000, 0.000], [0.000, 0.000, 0.500], [0.000, 0.500, 0.000], [0.500, 0.500, 0.500]],
  "delta_e_f_ev_per_atom": 0.07,
  "sg": "P4/mmm (123)",
  "dos_ef_per_ev_atom": 1.5823,
  "e_above_lowest_polymorph_mev_per_atom": 39,
  "magnetic_moment_mub_per_fu": 0.000
}

=====

Entry 10:
{
  "formula": "CaLa2Nd6",
  "functional": "PBE",
  "state": "relaxed",
  "cell": [[-4.390, -1.514, 5.850], [1.605, -8.005, 8.655], [3.349, 12.511, -1.393]],
  "species": ["Ca", "Ca", "La", "La", "La", "La", "Nd", "Nd", "Nd", "Nd", "Nd", "Nd", "Nd", "Nd", "Nd", "Nd", "Nd", "Nd"],
  "fractional_positions": [[0.122, 0.021, 0.855], [0.878, 0.979, 0.145], [0.576, 0.169, 0.665], [0.045, 0.318, 0.484], [0.424, 0.831, 0.335], [0.955, 0.682, 0.516], [0.454, 0.684, 0.517], [0.282, 0.361, 0.188], [0.546, 0.316, 0.483], [0.718, 0.639, 0.812], [0.915, 0.835, 0.335], [0.743, 0.511, 0.003], [0.085, 0.165, 0.665], [0.257, 0.489, 0.997], [0.220, 0.644, 0.815], [0.385, 0.980, 0.151], [0.780, 0.356, 0.185], [0.615, 0.020, 0.849]],
  "delta_e_f_ev_per_atom": 0.03,
  "sg": "P-1 (2)",
  "dos_ef_per_ev_atom": 1.4343,
  "magnetic_moment_mub_per_fu": 0.000
}

=====

Entry 11:
{
  "formula": "CaLaNd",
  "functional": "PBE",
  "state": "relaxed",
  "cell": [[3.774, 0.000, 0.000], [0.000, 3.774, 0.000], [-1.887, -1.887, 8.008]],
  "species": ["Ca", "Nd", "La"],
  "fractional_positions": [[0.002, 0.002, 0.004], [0.673, 0.673, 0.347], [0.324, 0.324, 0.649]],
  "delta_e_f_ev_per_atom": 0.03,
  "sg": "I4mm (107)",
  "dos_ef_per_ev_atom": 1.2773,
  "e_above_lowest_polymorph_mev_per_atom": 0,
  "magnetic_moment_mub_per_fu": 0.000
}

=====

Entry 12:
{
  "formula": "CaLaNd2",
  "functional": "PBE",
  "state": "relaxed",
  "cell": [[3.724, 0.000, 0.000], [1.862, 3.225, 0.000], [1.862, 1.075, 12.309]],
  "species": ["Ca", "La", "Nd", "Nd"],
  "fractional_positions": [[0.500, 0.500, 0.499], [0.666, 0.666, 0.001], [0.080, 0.080, 0.759], [0.253, 0.253, 0.241]],
  "delta_e_f_ev_per_atom": 0.03,
  "sg": "R3m (160)",
  "dos_ef_per_ev_atom": 1.7278,
  "e_above_lowest_polymorph_mev_per_atom": 0,
  "magnetic_moment_mub_per_fu": 0.000
}

=====

Please write out number 8 again, unchanged.
{
  "formula": "CaLaNd4",
  "functional": "PBE",
  "state": "relaxed",
  "cell": [[3.682, -0.003, 0.306], [0.004, 5.290, 0.014], [-0.929, -0.028, 11.131]],
  "species": ["Ca", "La", "Nd", "Nd", "Nd", "Nd"],
  "fractional_positions": [[0.500, 0.000, 0.500], [0.000, 0.500, 0.000], [0.500, 0.000, 0.835], [0.500, 0.000, 0.165], [0.000, 0.500, 0.676], [0.000, 0.500, 0.324]],
  "delta_e_f_ev_per_atom": 0.04,
  "sg": "Pmmm (47)",
  "dos_ef_per_ev_atom": 1.6612,
  "e_above_lowest_polymorph_mev_per_atom": 0,
  "magnetic_moment_mub_per_fu": 0.000
}